(1)
{"formula": "Ga2BrF", "functional": "meta-GGA SCAN", "state": "PBEsol geometry", "spacegroup": "Fm-3m, No. 225", "e_form_raw_ev_per_fu": -2.8, "lattice_angstrom": [[-1.109, 1.711, 4.432], [-4.665, 0.333, 1.389], [-1.751, -3.016, 3.411]], "species": ["F", "Br", "Ga", "Ga"], "fractional_positions": [[0.000, 0.000, 0.000], [0.500, 0.500, 0.500], [0.750, 0.750, 0.750], [0.250, 0.250, 0.250]]}

***

(2)
{"formula": "NbGaBr2F", "functional": "meta-GGA SCAN", "state": "PBEsol geometry", "spacegroup": "P4/mmm, No. 123", "dos_at_fermi_per_ev_fu": 2.6, "e_form_raw_ev_per_fu": -0.1, "lattice_angstrom": [[-3.322, 1.710, -0.654], [-2.561, -4.064, 2.378], [0.371, 2.524, 4.714]], "species": ["Br", "Br", "F", "Ga", "Nb"], "fractional_positions": [[0.000, 0.500, 0.000], [0.000, 0.000, 0.500], [0.000, 0.000, 0.000], [0.500, 0.000, 0.000], [0.500, 0.500, 0.500]]}

***

(3)
{"formula": "GaOsBrF2", "functional": "meta-GGA SCAN", "state": "PBEsol geometry", "spacegroup": "P4/mmm, No. 123", "dos_at_fermi_per_ev_fu": 2.9, "e_form_raw_ev_per_fu": -2.5, "lattice_angstrom": [[3.765, 0.000, 0.000], [0.000, 3.765, 0.000], [0.000, 0.000, 5.406]], "species": ["Ga", "Os", "Br", "F", "F"], "fractional_positions": [[0.000, 0.000, 0.000], [0.000, 0.000, 0.500], [0.500, 0.500, 0.500], [0.500, 0.000, 0.000], [0.000, 0.500, 0.000]]}

***

(4)
{"formula": "GaSe2BrF", "functional": "meta-GGA SCAN", "state": "PBEsol geometry", "spacegroup": "P4/mmm, No. 123", "dos_at_fermi_per_ev_fu": 4.4, "e_form_raw_ev_per_fu": 0.4, "lattice_angstrom": [[4.294, 0.000, 0.000], [0.000, 4.294, 0.000], [0.000, 0.000, 6.172]], "species": ["Se", "Se", "Ga", "Br", "F"], "fractional_positions": [[0.000, 0.500, 0.000], [0.500, 0.000, 0.000], [0.500, 0.500, 0.500], [0.000, 0.000, 0.500], [0.000, 0.000, 0.000]]}

***

(5)
{"formula": "GaTeBrF2", "functional": "meta-GGA SCAN", "state": "PBEsol geometry", "spacegroup": "P4/mmm, No. 123", "dos_at_fermi_per_ev_fu": 1.0, "e_form_raw_ev_per_fu": -6.5, "lattice_angstrom": [[-2.081, 0.001, -3.500], [-1.789, -3.500, 1.062], [-4.124, 2.853, 2.453]], "species": ["Br", "F", "F", "Te", "Ga"], "fractional_positions": [[0.500, 0.500, 0.500], [0.500, 0.000, 0.000], [0.000, 0.500, 0.000], [0.000, 0.000, 0.500], [0.000, 0.000, 0.000]]}

***

(6)
{"formula": "GaWBr2F", "functional": "meta-GGA SCAN", "state": "PBEsol geometry", "spacegroup": "P4/mmm, No. 123", "dos_at_fermi_per_ev_fu": 2.5, "e_form_raw_ev_per_fu": 0.9, "lattice_angstrom": [[-1.483, 3.349, -1.268], [-4.726, -2.638, -1.440], [-2.107, 0.995, 5.093]], "species": ["Br", "Br", "Ga", "F", "W"], "fractional_positions": [[0.000, 0.500, 0.000], [0.000, 0.000, 0.500], [0.500, 0.500, 0.500], [0.000, 0.000, 0.000], [0.500, 0.000, 0.000]]}

***

(7)
{"formula": "GeBr2F", "functional": "meta-GGA SCAN", "state": "PBEsol geometry", "spacegroup": "Fm-3m, No. 225", "dos_at_fermi_per_ev_fu": 4.8, "e_form_raw_ev_per_fu": -1.0, "lattice_angstrom": [[4.684, 0.000, 0.000], [2.342, 4.057, 0.000], [2.342, 1.352, 3.825]], "species": ["Br", "Br", "F", "Ge"], "fractional_positions": [[0.750, 0.750, 0.750], [0.250, 0.250, 0.250], [0.000, 0.000, 0.000], [0.500, 0.500, 0.500]]}

***

(8)
{"formula": "HSe2BrF", "functional": "meta-GGA SCAN", "state": "PBEsol geometry", "spacegroup": "P4/mmm, No. 123", "dos_at_fermi_per_ev_fu": 4.1, "e_tot_ev_per_atom": -12.48, "lattice_angstrom": [[4.314, 0.000, 0.000], [0.000, 4.314, 0.000], [0.000, 0.000, 5.612]], "species": ["Se", "Se", "Br", "F", "H"], "fractional_positions": [[0.500, 0.000, 0.000], [0.000, 0.500, 0.000], [0.000, 0.000, 0.500], [0.000, 0.000, 0.000], [0.500, 0.500, 0.500]]}